# 1
Y2PaAl2Ru5 after structural relaxation, computed with PBE.

abc: 3.4247 10.1653 10.1653
angles: 90.00 90.00 90.00
Positions (direct):
1 Y 0.0000 0.6703 0.1703
2 Y 0.0000 0.3297 0.8297
3 Y 0.0000 0.1703 0.3297
4 Y 0.0000 0.8297 0.6703
5 Pa 0.0000 0.0000 0.0000
6 Pa 0.0000 0.5000 0.5000
7 Al 0.0000 0.1258 0.6258
8 Al 0.0000 0.8742 0.3742
9 Al 0.0000 0.6258 0.8742
10 Al 0.0000 0.3742 0.1258
11 Ru 0.5000 0.2025 0.0696
12 Ru 0.5000 0.7975 0.9304
13 Ru 0.5000 0.0696 0.7975
14 Ru 0.5000 0.7025 0.4304
15 Ru 0.5000 0.9304 0.2025
16 Ru 0.5000 0.2975 0.5696
17 Ru 0.5000 0.5696 0.7025
18 Ru 0.5000 0.4304 0.2975
19 Ru 0.5000 0.5000 0.0000
20 Ru 0.5000 0.0000 0.5000

Output
D(E_F) = 0.5962 states/eV per atom
raw total energy = -163.89 eV for the cell shown
energy relative to the elements = -566 meV/atom
total magnetic moment = 0.00 Bohr magnetons per cell


# 2
K2Sb after structural relaxation, computed with PBE.

abc: 15.8406 15.8406 15.8406
angles: 164.40 164.40 22.13
Positions (direct):
1 K 0.1903 0.6903 0.5000
2 K 0.5597 0.5597 0.0000
3 K 0.3097 0.8097 0.5000
4 K 0.4403 0.4403 0.0000
5 Sb 0.7500 0.2500 0.5000
6 Sb 0.0000 0.0000 0.0000

Output
D(E_F) = 0.3398 states/eV per atom
raw total energy = -13.93 eV for the cell shown
excess energy over the best structure of this formula in the dataset = 191.0 meV per atom
total magnetic moment = 0.00 Bohr magnetons per cell


# 3
AlBSN2 after structural relaxation, computed with PBE.

abc: 3.1842 3.1842 6.1025
angles: 90.00 90.00 90.00
Positions (direct):
1 S 0.0000 0.0000 0.5000
2 B 0.0000 0.0000 0.0000
3 Al 0.5000 0.5000 0.5000
4 N 0.0000 0.5000 0.0000
5 N 0.5000 0.0000 0.0000

Output
D(E_F) = 0.2478 states/eV per atom
raw total energy = -27.71 eV for the cell shown
excess energy over the best structure of this formula in the dataset = 0.0 meV per atom
total magnetic moment = 0.00 Bohr magnetons per cell